[1]
## ScIrSe2 (GGA-PBE)

Data for a geometry-optimized ScIrSe2 structure.

a b c (Å): 3.5357 3.5357 24.3400
angles (deg): 90.00 90.00 120.00
Space group R-3m (No. 166, hexagonal axes)
Inequivalent atoms, fractional coordinates:
Sc 0.0000 0.0000 0.0000 x3
Ir 0.0000 0.0000 0.5000 x3
Se 0.0000 0.0000 0.4022 x6

Calculated values
Theoretical density, g cm⁻³: 7.5
Total magnetization, Bohr magnetons per cell: 0.00
Calculated total energy, eV/atom: -5.868

=====

[2]
## MnPdRh (GGA-PBE)

Data for a geometry-optimized MnPdRh structure.

a b c (Å): 2.910 2.910 10.299
angles (deg): 90.00 90.00 90.00
Space group I4mm (No. 107)
Inequivalent atoms, fractional coordinates:
Mn 0.000 0.000 0.000 x2
Pd 0.000 0.000 0.338 x2
Rh 0.000 0.000 0.649 x2

Calculated values
Theoretical density, g cm⁻³: 10.1
Total magnetization, Bohr magnetons per cell: 7.61
Formation energy from the elements, eV/atom: -0.07

=====

[3]
## MgCoPt2 (GGA-PBE)

Data for a geometry-optimized MgCoPt2 structure.

a b c (Å): 5.640 7.331 2.818
angles (deg): 90.00 90.00 90.00
Space group Cmmm (No. 65)
Inequivalent atoms, fractional coordinates:
Mg 0.000 0.000 0.000 x2
Co 0.000 0.500 0.000 x2
Pt 0.250 0.250 0.500 x4

Calculated values
Theoretical density, g cm⁻³: 13.5
Total magnetization, Bohr magnetons per cell: 4.26
Formation energy from the elements, eV/atom: -0.42

=====

Q: Among the records above, which one has the highest theoretical density?
A: MgCoPt2